{"formula": "Pr2Ho4Tm", "functional": "PBE", "state": "optimized geometry", "formation_enthalpy_0k_kj_per_mol_atoms": 10.4, "sg": "C2/m, No. 12", "e_above_lowest_polymorph_ev_per_atom": 0.0000, "n_ef_per_ev_fu": 9.04, "energy_ev_per_atom": -4.512, "lattice_angstrom": [[-2.6786, 0.1570, 2.5772], [7.9062, -7.1640, 8.6538], [4.9068, 17.2132, 4.0512]], "species": ["Pr", "Pr", "Pr", "Pr", "Pr", "Pr", "Pr", "Pr", "Ho", "Ho", "Ho", "Ho", "Ho", "Ho", "Ho", "Ho", "Ho", "Ho", "Ho", "Ho", "Ho", "Ho", "Ho", "Ho", "Tm", "Tm", "Tm", "Tm"], "frac_coords": [[0.0000, 0.8419, 0.8203], [0.5000, 0.6583, 0.1798], [0.0001, 0.4069, 0.6442], [0.5001, 0.0931, 0.3558], [0.0000, 0.1581, 0.1797], [0.5000, 0.3417, 0.8202], [0.9999, 0.5931, 0.3558], [0.4999, 0.9069, 0.6442], [0.9999, 0.6995, 0.5567], [0.4999, 0.8005, 0.4434], [0.0000, 0.2107, 0.9285], [0.5000, 0.2894, 0.0717], [0.0001, 0.3005, 0.4433], [0.5001, 0.1995, 0.5566], [0.0000, 0.7893, 0.0715], [0.5000, 0.7106, 0.9283], [0.0000, 0.1422, 0.6994], [0.5000, 0.3578, 0.3005], [0.9999, 0.5475, 0.8219], [0.4999, 0.9523, 0.1781], [0.0000, 0.8578, 0.3006], [0.5000, 0.6422, 0.6995], [0.0001, 0.4525, 0.1781], [0.5001, 0.0477, 0.8219], [0.0000, 0.0000, 0.5000], [0.5000, 0.5000, 0.5000], [0.0000, 0.5000, 0.0000], [0.5000, 0.0000, 0.0000]]}